The following is a DFT calculation (GGA-PBE) of LiDy2Au2 after structural relaxation.

Results
energy above the most stable polymorph in this dataset	83	meV/atom
energy relative to the elements	-13.940	kcal/mol of atoms

Cell lengths 5.696, 7.532, 7.398 Å; angles 120.60, 112.64, 90.00 degrees
Element x y z (fractional)
Li (0.750, 0.500, 0.000)
Li (0.250, 0.500, 0.000)
Dy (0.837, 0.678, 0.675)
Dy (0.163, 0.322, 0.325)
Dy (0.663, 0.003, 0.325)
Dy (0.337, 0.997, 0.675)
Au (0.404, 0.683, 0.808)
Au (0.596, 0.317, 0.192)
Au (0.096, 0.875, 0.192)
Au (0.904, 0.125, 0.808)

***

The following is a DFT calculation (GGA-PBE) of MgAg3Au12 after structural relaxation.

Results
energy relative to the elements	-2.939	kcal/mol of atoms

Cell lengths 4.144, 4.144, 16.692 Å; angles 90.00, 90.00, 90.00 degrees
Element x y z (fractional)
Mg (0.000, 0.000, 0.000)
Ag (0.000, 0.000, 0.250)
Ag (0.000, 0.000, 0.500)
Ag (0.000, 0.000, 0.750)
Au (0.500, 0.500, 0.000)
Au (0.500, 0.500, 0.249)
Au (0.500, 0.500, 0.500)
Au (0.500, 0.500, 0.751)
Au (0.500, 0.000, 0.123)
Au (0.500, 0.000, 0.375)
Au (0.500, 0.000, 0.625)
Au (0.500, 0.000, 0.877)
Au (0.000, 0.500, 0.123)
Au (0.000, 0.500, 0.375)
Au (0.000, 0.500, 0.625)
Au (0.000, 0.500, 0.877)

***

The following is a DFT calculation (GGA-PBE) of SrCaNpO6 after structural relaxation.

Results
formation energy without anion corrections	-2.6005	eV/atom

Cell lengths 5.882, 5.882, 9.989 Å; angles 90.00, 90.00, 120.00 degrees
Element x y z (fractional)
Sr (0.000, 0.000, 0.000)
Sr (0.000, 0.000, 0.500)
Ca (0.333, 0.667, 0.250)
Ca (0.667, 0.333, 0.750)
Np (0.667, 0.333, 0.250)
Np (0.333, 0.667, 0.750)
O (0.659, 0.616, 0.142)
O (0.957, 0.341, 0.142)
O (0.341, 0.957, 0.642)
O (0.043, 0.659, 0.858)
O (0.384, 0.341, 0.358)
O (0.957, 0.616, 0.358)
O (0.616, 0.957, 0.858)
O (0.659, 0.043, 0.358)
O (0.043, 0.384, 0.642)
O (0.384, 0.043, 0.142)
O (0.616, 0.659, 0.642)
O (0.341, 0.384, 0.858)

***

The following is a DFT calculation (GGA-PBE) of Zr2In2As after structural relaxation.

Results
energy relative to the elements	-11.407	kcal/mol of atoms

Cell lengths 7.048, 7.048, 4.675 Å; angles 90.00, 90.00, 90.00 degrees
Element x y z (fractional)
As (0.000, 0.000, 0.000)
As (0.500, 0.500, 0.000)
Zr (0.339, 0.839, 0.000)
Zr (0.839, 0.661, 0.000)
Zr (0.661, 0.161, 0.000)
Zr (0.161, 0.339, 0.000)
In (0.151, 0.651, 0.500)
In (0.651, 0.849, 0.500)
In (0.849, 0.349, 0.500)
In (0.349, 0.151, 0.500)

***

The following is a DFT calculation (GGA-PBE) of VIn2Br4 after structural relaxation.

Results
energy above the most stable polymorph in this dataset	0	meV/atom
formation energy without anion corrections	-0.7017	eV/atom

Cell lengths 4.036, 9.024, 12.163 Å; angles 90.00, 90.00, 90.00 degrees
Element x y z (fractional)
V (0.000, 0.000, 0.500)
V (0.000, 0.500, 0.000)
In (0.500, 0.915, 0.825)
In (0.500, 0.085, 0.175)
In (0.500, 0.415, 0.675)
In (0.500, 0.585, 0.325)
Br (0.000, 0.637, 0.810)
Br (0.000, 0.363, 0.190)
Br (0.000, 0.137, 0.690)
Br (0.000, 0.863, 0.310)
Br (0.500, 0.830, 0.571)
Br (0.500, 0.170, 0.429)
Br (0.500, 0.670, 0.071)
Br (0.500, 0.330, 0.929)

***

The following is a DFT calculation (GGA-PBE) of Ac3RuBr after structural relaxation.

Results
energy above the most stable polymorph in this dataset	0	meV/atom
formation energy without anion corrections	-0.5759	eV/atom

Cell lengths 7.428, 10.178, 10.178 Å; angles 102.13, 84.03, 84.03 degrees
Element x y z (fractional)
Ac (0.119, 0.799, 0.946)
Ac (0.381, 0.054, 0.201)
Ac (0.881, 0.201, 0.054)
Ac (0.619, 0.946, 0.799)
Ac (0.387, 0.323, 0.947)
Ac (0.113, 0.053, 0.677)
Ac (0.613, 0.677, 0.053)
Ac (0.887, 0.947, 0.323)
Ac (0.945, 0.434, 0.751)
Ac (0.555, 0.249, 0.566)
Ac (0.055, 0.566, 0.249)
Ac (0.445, 0.751, 0.434)
Ru (0.750, 0.933, 0.067)
Ru (0.250, 0.067, 0.933)
Ru (0.750, 0.219, 0.781)
Ru (0.250, 0.781, 0.219)
Br (0.547, 0.596, 0.691)
Br (0.953, 0.309, 0.404)
Br (0.453, 0.404, 0.309)
Br (0.047, 0.691, 0.596)

***

The following is a DFT calculation (GGA-PBE) of SnAuI after structural relaxation.

Results
energy above the most stable polymorph in this dataset	10	meV/atom
formation energy without anion corrections	-0.1274	eV/atom

Cell lengths 4.273, 4.273, 5.672 Å; angles 90.00, 90.00, 120.00 degrees
Element x y z (fractional)
I (0.000, 0.000, 0.984)
Au (0.333, 0.667, 0.629)
Sn (0.667, 0.333, 0.388)

***

The following is a DFT calculation (GGA-PBE) of AcPuTh2 after structural relaxation.

Results
energy above the most stable polymorph in this dataset	673	meV/atom
energy relative to the elements	19.532	kcal/mol of atoms

Cell lengths 3.758, 3.758, 11.007 Å; angles 80.17, 80.17, 60.00 degrees
Element x y z (fractional)
Ac (0.000, 0.000, 0.000)
Th (0.114, 0.114, 0.657)
Th (0.886, 0.886, 0.343)
Pu (0.500, 0.500, 0.500)

***

The following is a DFT calculation (GGA-PBE) of CePu2Mn3 after structural relaxation.

Results
energy relative to the elements	2.427	kcal/mol of atoms

Cell lengths 4.795, 6.327, 7.621 Å; angles 107.85, 78.54, 93.06 degrees
Element x y z (fractional)
Ce (0.305, 0.354, 0.222)
Ce (0.695, 0.646, 0.778)
Pu (0.370, 0.889, 0.212)
Pu (0.782, 0.635, 0.362)
Pu (0.218, 0.365, 0.638)
Pu (0.630, 0.111, 0.788)
Mn (0.881, 0.321, 0.985)
Mn (0.774, 0.138, 0.473)
Mn (0.119, 0.679, 0.015)
Mn (0.798, 0.019, 0.136)
Mn (0.202, 0.981, 0.864)
Mn (0.226, 0.862, 0.527)

***

The following is a DFT calculation (GGA-PBE) of Pm3RuPb after structural relaxation.

Results
energy above the most stable polymorph in this dataset	132	meV/atom
energy relative to the elements	-5.164	kcal/mol of atoms

Cell lengths 5.409, 5.409, 5.409 Å; angles 90.00, 90.00, 90.00 degrees
Element x y z (fractional)
Pb (0.500, 0.500, 0.500)
Ru (0.000, 0.000, 0.000)
Pm (0.000, 0.500, 0.000)
Pm (0.000, 0.000, 0.500)
Pm (0.500, 0.000, 0.000)

***

The following is a DFT calculation (GGA-PBE) of Ac2InSi after structural relaxation.

Results
formation energy without anion corrections	-0.4985	eV/atom

Cell lengths 4.873, 7.247, 7.714 Å; angles 90.00, 108.41, 90.00 degrees
Element x y z (fractional)
Ac (0.761, 0.000, 0.522)
Ac (0.662, 0.500, 0.324)
Ac (0.923, 0.500, 0.846)
Ac (0.472, 0.000, 0.944)
In (0.110, 0.200, 0.220)
In (0.110, 0.800, 0.220)
Si (0.299, 0.676, 0.598)
Si (0.299, 0.324, 0.598)

***

The following is a DFT calculation (GGA-PBE) of CePt3 after structural relaxation.

Results
energy relative to the elements	-20.577	kcal/mol of atoms

Cell lengths 4.136, 4.136, 5.193 Å; angles 113.47, 113.47, 90.00 degrees
Element x y z (fractional)
Ce (0.000, 0.000, 0.000)
Pt (0.750, 0.250, 0.500)
Pt (0.250, 0.750, 0.500)
Pt (0.500, 0.500, 0.000)

***

The following is a DFT calculation (GGA-PBE) of Pm4HNO2 after structural relaxation.

Results
total energy	-55.33	eV for the cell shown

Cell lengths 3.621, 6.131, 6.160 Å; angles 71.24, 90.00, 90.00 degrees
Element x y z (fractional)
Pm (0.000, 0.764, 0.733)
Pm (0.000, 0.236, 0.267)
Pm (0.500, 0.747, 0.257)
Pm (0.500, 0.253, 0.743)
H (0.500, 0.500, 0.000)
N (0.000, 0.500, 0.500)
O (0.000, 0.000, 0.000)
O (0.500, 0.000, 0.500)

***

The following is a DFT calculation (GGA-PBE) of CdRe2Tc2 after structural relaxation.

Results
energy above the most stable polymorph in this dataset	0	meV/atom
energy relative to the elements	6.068	kcal/mol of atoms

Cell lengths 7.721, 7.721, 2.781 Å; angles 90.00, 90.00, 90.00 degrees
Element x y z (fractional)
Re (0.377, 0.877, 0.000)
Re (0.877, 0.623, 0.000)
Re (0.623, 0.123, 0.000)
Re (0.123, 0.377, 0.000)
Tc (0.165, 0.665, 0.500)
Tc (0.665, 0.835, 0.500)
Tc (0.835, 0.335, 0.500)
Tc (0.335, 0.165, 0.500)
Cd (0.000, 0.000, 0.000)
Cd (0.500, 0.500, 0.000)

***

The following is a DFT calculation (GGA-PBE) of Cs2IBr after structural relaxation.

Results
energy above the most stable polymorph in this dataset	0	meV/atom
formation energy without anion corrections	-1.6656	eV/atom

Cell lengths 5.330, 5.330, 9.463 Å; angles 89.98, 106.37, 120.02 degrees
Element x y z (fractional)
Cs (0.511, 0.256, 0.767)
Cs (0.489, 0.744, 0.233)
I (0.000, 0.500, 0.500)
Br (0.000, 0.000, 0.000)

***

The following is a DFT calculation (GGA-PBE) of InNiP2 after structural relaxation.

Results
energy relative to the elements	-2.216	kcal/mol of atoms

Cell lengths 6.453, 6.453, 6.453 Å; angles 32.77, 32.77, 32.77 degrees
Element x y z (fractional)
In (0.250, 0.250, 0.250)
Ni (0.750, 0.750, 0.750)
P (0.032, 0.032, 0.032)
P (0.468, 0.468, 0.468)

***

The following is a DFT calculation (GGA-PBE) of K4ErPa3Te8 after structural relaxation.

Results
formation energy without anion corrections	-1.0257	eV/atom

Cell lengths 8.835, 9.866, 8.835 Å; angles 116.61, 120.00, 90.00 degrees
Element x y z (fractional)
K (0.500, 0.000, 0.000)
K (0.500, 0.000, 0.500)
K (0.000, 0.000, 0.000)
K (0.000, 0.000, 0.500)
Er (0.000, 0.500, 0.000)
Pa (0.500, 0.500, 0.000)
Pa (0.500, 0.500, 0.500)
Pa (0.000, 0.500, 0.500)
Te (0.235, 0.713, 0.978)
Te (0.235, 0.713, 0.471)
Te (0.261, 0.283, 0.522)
Te (0.742, 0.713, 0.978)
Te (0.258, 0.287, 0.022)
Te (0.739, 0.717, 0.478)
Te (0.765, 0.287, 0.529)
Te (0.765, 0.287, 0.022)

***

The following is a DFT calculation (GGA-PBE) of SiTeW after structural relaxation.

Results
energy above the most stable polymorph in this dataset	462	meV/atom
formation energy without anion corrections	0.7980	eV/atom

Cell lengths 4.687, 4.687, 2.988 Å; angles 90.00, 90.00, 120.00 degrees
Element x y z (fractional)
Si (0.000, 0.000, 0.830)
Te (0.667, 0.333, 0.488)
W (0.333, 0.667, 0.682)

***

The following is a DFT calculation (GGA-PBE) of Ni2AgHg after structural relaxation.

Results
energy relative to the elements	5.461	kcal/mol of atoms

Cell lengths 4.205, 4.205, 3.388 Å; angles 90.00, 90.00, 90.00 degrees
Element x y z (fractional)
Ag (0.500, 0.000, 0.500)
Hg (0.000, 0.500, 0.500)
Ni (0.000, 0.000, 0.000)
Ni (0.500, 0.500, 0.000)

***

The following is a DFT calculation (GGA-PBE) of Hf3Zn2Pd after structural relaxation.

Results
energy relative to the elements	-7.586	kcal/mol of atoms

Cell lengths 3.351, 3.351, 9.693 Å; angles 90.00, 90.00, 90.00 degrees
Element x y z (fractional)
Hf (0.000, 0.000, 0.000)
Hf (0.000, 0.000, 0.667)
Hf (0.000, 0.000, 0.333)
Zn (0.500, 0.500, 0.835)
Zn (0.500, 0.500, 0.165)
Pd (0.500, 0.500, 0.500)

***

The following is a DFT calculation (GGA-PBE) of Tb6PrHo12 after structural relaxation.

Results
energy above the most stable polymorph in this dataset	139	meV/atom
energy relative to the elements	3.628	kcal/mol of atoms

Cell lengths 8.509, 8.509, 8.509 Å; angles 88.54, 88.54, 88.54 degrees
Element x y z (fractional)
Tb (0.744, 0.909, 0.315)
Tb (0.685, 0.256, 0.091)
Tb (0.091, 0.685, 0.256)
Tb (0.256, 0.091, 0.685)
Tb (0.315, 0.744, 0.909)
Tb (0.909, 0.315, 0.744)
Pr (0.000, 0.000, 0.000)
Ho (0.772, 0.544, 0.436)
Ho (0.436, 0.772, 0.544)
Ho (0.544, 0.436, 0.772)
Ho (0.228, 0.456, 0.564)
Ho (0.564, 0.228, 0.456)
Ho (0.456, 0.564, 0.228)
Ho (0.009, 0.213, 0.354)
Ho (0.787, 0.646, 0.991)
Ho (0.646, 0.991, 0.787)
Ho (0.991, 0.787, 0.646)
Ho (0.213, 0.354, 0.009)
Ho (0.354, 0.009, 0.213)

***

The following is a DFT calculation (GGA-PBE) of Y2NiTe after structural relaxation.

Results
formation energy without anion corrections	-0.6465	eV/atom

Cell lengths 3.682, 3.682, 7.002 Å; angles 90.00, 90.00, 90.02 degrees
Element x y z (fractional)
Ni (0.500, 0.500, 0.250)
Te (0.500, 0.500, 0.750)
Y (0.000, 0.000, 0.024)
Y (0.000, 0.000, 0.476)

***

The following is a DFT calculation (GGA-PBE) of SrMg2CdBr8 after structural relaxation.

Results
formation energy without anion corrections	-1.4108	eV/atom

Cell lengths 6.828, 6.537, 8.301 Å; angles 90.00, 90.00, 89.10 degrees
Element x y z (fractional)
Sr (0.000, 0.000, 0.500)
Mg (0.500, 0.500, 0.758)
Mg (0.500, 0.500, 0.242)
Cd (0.000, 0.000, 0.000)
Br (0.173, 0.750, 0.232)
Br (0.655, 0.726, 0.000)
Br (0.827, 0.250, 0.232)
Br (0.827, 0.250, 0.768)
Br (0.345, 0.274, 0.000)
Br (0.173, 0.750, 0.768)
Br (0.647, 0.712, 0.500)
Br (0.353, 0.288, 0.500)

***

| no. | N(E_F) (states/eV/cell) |
| --- | --- |
| 1 | 7.49 |
| 2 | 4.37 |
| 3 | 19.03 |
| 4 | 5.28 |
| 5 | 1.47 |
| 6 | 11.09 |
| 7 | 1.12 |
| 8 | 7.00 |
| 9 | 20.04 |
| 10 | 3.15 |
| 11 | 6.16 |
| 12 | 1.78 |
| 13 | 3.75 |
| 14 | 5.99 |
| 15 | 0.00 |
| 16 | 1.26 |
| 17 | 17.90 |
| 18 | 2.16 |
| 19 | 2.88 |
| 20 | 4.18 |
| 21 | 30.51 |
| 22 | 2.96 |
| 23 | 0.00 |